No. 1
A plane-wave DFT calculation with PBE-GGA was carried out for an optimized crystal structure of LuPaRu.

a = 4.7228 Å, b = 4.7228 Å, c = 4.7228 Å
α = 60.00°, β = 60.00°, γ = 60.00°
Atoms (fractional coordinates):
1 Ru 0.2500 0.2500 0.2500
2 Pa 0.5000 0.5000 0.5000
3 Lu 0.0000 0.0000 0.0000

Values from the calculation:
* E above lowest polymorph: 22.75 kJ/mol of atoms
* formation energy: -0.09 eV/atom

***

No. 2
A plane-wave DFT calculation with PBE-GGA was carried out for an optimized crystal structure of LiBeCuPd.

a = 2.8168 Å, b = 2.8168 Å, c = 6.0276 Å
α = 90.00°, β = 90.00°, γ = 90.00°
Atoms (fractional coordinates):
1 Li 0.0000 0.0000 0.0684
2 Be 0.0000 0.0000 0.5709
3 Cu 0.5000 0.5000 0.7939
4 Pd 0.5000 0.5000 0.3515

Values from the calculation:
* formation energy: -0.28 eV/atom

***

No. 3
A plane-wave DFT calculation with PBE-GGA was carried out for an optimized crystal structure of Pr4C2F5.

a = 3.6046 Å, b = 7.2320 Å, c = 8.5406 Å
α = 115.03°, β = 102.18°, γ = 90.00°
Atoms (fractional coordinates):
1 Pr 0.6992 0.6992 0.3984
2 Pr 0.0000 0.7362 0.9999
3 Pr 0.3008 0.3008 0.6016
4 Pr 0.0000 0.2638 0.0001
5 C 0.5471 0.5471 0.0941
6 C 0.4529 0.4529 0.9059
7 F 0.1771 0.9374 0.3543
8 F 0.8229 0.0626 0.6457
9 F 0.1772 0.4171 0.3544
10 F 0.5000 0.0000 0.0000
11 F 0.8228 0.5829 0.6456

Values from the calculation:
* formation energy without anion corrections: -26.80 eV/f.u.

***

No. 4
A plane-wave DFT calculation with PBE-GGA was carried out for an optimized crystal structure of LaMg6BO8.

a = 4.4596 Å, b = 4.4596 Å, c = 9.1642 Å
α = 90.00°, β = 90.00°, γ = 90.00°
Atoms (fractional coordinates):
1 La 0.0000 0.0000 0.0000
2 Mg 0.0000 0.0000 0.5000
3 Mg 0.5000 0.5000 0.5000
4 Mg 0.0000 0.5000 0.2723
5 Mg 0.0000 0.5000 0.7277
6 Mg 0.5000 0.0000 0.2723
7 Mg 0.5000 0.0000 0.7277
8 B 0.5000 0.5000 0.0000
9 O 0.0000 0.0000 0.2728
10 O 0.0000 0.0000 0.7272
11 O 0.5000 0.5000 0.2763
12 O 0.5000 0.5000 0.7237
13 O 0.0000 0.5000 0.0000
14 O 0.0000 0.5000 0.5000
15 O 0.5000 0.0000 0.0000
16 O 0.5000 0.0000 0.5000

Values from the calculation:
* E above lowest polymorph: 0.00 kJ/mol of atoms
* formation energy without anion corrections: -34.50 eV/f.u.

***

No. 5
A plane-wave DFT calculation with PBE-GGA was carried out for an optimized crystal structure of NiSnHg2.

a = 8.9216 Å, b = 8.9216 Å, c = 6.7681 Å
α = 48.77°, β = 48.77°, γ = 90.00°
Atoms (fractional coordinates):
1 Ni 0.5000 0.5000 0.0000
2 Ni 0.2500 0.7500 0.5000
3 Hg 0.5184 0.1250 0.2500
4 Hg 0.2316 0.6250 0.2500
5 Hg 0.3750 0.4816 0.7500
6 Hg 0.8750 0.7684 0.7500
7 Sn 0.0000 0.0000 0.0000
8 Sn 0.7500 0.2500 0.5000

Values from the calculation:
* formation energy: 0.18 eV/atom

***

No. 6
A plane-wave DFT calculation with PBE-GGA was carried out for an optimized crystal structure of PmNdDy2.

a = 3.5622 Å, b = 5.6281 Å, c = 6.8608 Å
α = 90.00°, β = 105.05°, γ = 90.00°
Atoms (fractional coordinates):
1 Pm 0.6878 0.5000 0.3755
2 Nd 0.5623 0.0000 0.1246
3 Dy 0.9458 0.5000 0.8917
4 Dy 0.3041 0.0000 0.6082

Values from the calculation:
* E above lowest polymorph: 4.06 kJ/mol of atoms
* formation energy: 0.05 eV/atom

***

No. 7
A plane-wave DFT calculation with PBE-GGA was carried out for an optimized crystal structure of PaCoH6Rh.

a = 4.4891 Å, b = 4.4892 Å, c = 4.0918 Å
α = 90.00°, β = 90.00°, γ = 60.00°
Atoms (fractional coordinates):
1 Pa 0.0000 0.0000 0.0000
2 Co 0.3333 0.3334 0.5000
3 H 0.0222 0.4886 0.2263
4 H 0.4885 0.0222 0.7737
5 H 0.4892 0.4886 0.7737
6 H 0.0222 0.4893 0.7737
7 H 0.4885 0.4892 0.2263
8 H 0.4892 0.0222 0.2263
9 Rh 0.6666 0.6666 0.5000

Values from the calculation:
* final energy: -5.148 eV/atom

***

No. 8
A plane-wave DFT calculation with PBE-GGA was carried out for an optimized crystal structure of Pr8Ru3Au2.

a = 5.0306 Å, b = 10.1631 Å, c = 8.9196 Å
α = 124.66°, β = 90.00°, γ = 90.00°
Atoms (fractional coordinates):
1 Pr 0.0000 0.6137 0.2283
2 Pr 0.0000 0.3863 0.7717
3 Pr 0.0000 0.1172 0.2349
4 Pr 0.0000 0.8828 0.7651
5 Pr 0.5000 0.6384 0.7685
6 Pr 0.5000 0.1311 0.7692
7 Pr 0.5000 0.8689 0.2308
8 Pr 0.5000 0.3616 0.2315
9 Ru 0.5000 0.0000 0.0000
10 Ru 0.0000 0.2490 0.0000
11 Ru 0.0000 0.7510 0.0000
12 Au 0.5000 0.2559 0.5118
13 Au 0.5000 0.7441 0.4882

Values from the calculation:
* formation energy: -0.29 eV/atom

***

No. 9
A plane-wave DFT calculation with PBE-GGA was carried out for an optimized crystal structure of La4Nd2SmTm2.

a = 5.2098 Å, b = 8.2128 Å, c = 8.1309 Å
α = 107.50°, β = 90.00°, γ = 108.49°
Atoms (fractional coordinates):
1 La 0.7768 0.5537 0.6707
2 La 0.2232 0.4463 0.3293
3 La 0.5545 0.1091 0.3282
4 La 0.4455 0.8909 0.6718
5 Nd 0.8877 0.7754 0.3297
6 Nd 0.1123 0.2246 0.6703
7 Sm 0.0000 0.0000 0.0000
8 Tm 0.3320 0.6639 0.0007
9 Tm 0.6680 0.3361 0.9993

Values from the calculation:
* formation energy: 0.03 eV/atom

***

No. 10
A plane-wave DFT calculation with PBE-GGA was carried out for an optimized crystal structure of HfSc3Al8.

a = 5.3247 Å, b = 5.3247 Å, c = 8.7461 Å
α = 90.00°, β = 90.00°, γ = 120.00°
Atoms (fractional coordinates):
1 Hf 0.0000 0.0000 0.5669
2 Sc 0.6667 0.3333 0.4339
3 Sc 0.6667 0.3333 0.0679
4 Sc 0.0000 0.0000 0.9313
5 Al 0.3333 0.6667 0.4999
6 Al 0.3333 0.6667 0.0002
7 Al 0.5044 0.0089 0.7474
8 Al 0.5044 0.4956 0.7474
9 Al 0.9911 0.4956 0.7474
10 Al 0.1620 0.3239 0.2526
11 Al 0.1620 0.8380 0.2526
12 Al 0.6761 0.8380 0.2526

Values from the calculation:
* E above lowest polymorph: 0.82 kJ/mol of atoms
* formation energy: -0.46 eV/atom

***

No. 11
A plane-wave DFT calculation with PBE-GGA was carried out for an optimized crystal structure of NaNd2Ag4.

a = 4.5110 Å, b = 5.5417 Å, c = 8.3972 Å
α = 71.38°, β = 74.42°, γ = 65.98°
Atoms (fractional coordinates):
1 Na 0.0000 0.0000 0.0000
2 Nd 0.7138 0.8637 0.7087
3 Nd 0.2862 0.1363 0.2913
4 Ag 0.9655 0.7146 0.3543
5 Ag 0.0345 0.2854 0.6457
6 Ag 0.6488 0.5791 0.1232
7 Ag 0.3512 0.4209 0.8768

Values from the calculation:
* formation energy: -0.03 eV/atom

***

No. 12
A plane-wave DFT calculation with PBE-GGA was carried out for an optimized crystal structure of YReAg.

a = 4.8698 Å, b = 4.8698 Å, c = 2.8903 Å
α = 90.00°, β = 90.00°, γ = 120.00°
Atoms (fractional coordinates):
1 Ag 0.0000 0.0000 0.1657
2 Re 0.3333 0.6667 0.1675
3 Y 0.6667 0.3333 0.6669

Values from the calculation:
* E above lowest polymorph: 0.00 kJ/mol of atoms
* formation energy: 0.48 eV/atom